Compound: CsBaBi
Source: Alexandria via LeMat-Bulk
Functional: meta-GGA SCAN
Structure: PBEsol geometry

The space group is Pnma (No. 62) and the conventional cell measures 9.793, 5.858 and 10.178 Å, with angles of 90.00, 90.00 and 90.00 degrees. Symmetry generates all atoms from Cs at (0.010, 0.250, 0.175), Ba at (0.152, 0.250, 0.584) and Bi at (0.206, 0.750, 0.399).

The volume comes out at 584 Å³ per cell. As for the energy relative to the elements: -0.82 eV per atom. Its total energy is -633.6 eV per cell.